(1)
CaAl12Pd6: optimized geometry, PBE.

a = 7.2064 Å, b = 7.2064 Å, c = 7.2064 Å
α = 104.78°, β = 104.78°, γ = 104.78°
Atoms (fractional coordinates):
Ca 0.0000 0.0000 0.0000
Al 0.1155 0.5000 0.8845
Al 0.1155 0.8845 0.5000
Al 0.1470 0.4019 0.4019
Al 0.4019 0.1470 0.4019
Al 0.4019 0.4019 0.1470
Al 0.5000 0.1155 0.8845
Al 0.5000 0.8845 0.1155
Al 0.5981 0.5981 0.8530
Al 0.5981 0.8530 0.5981
Al 0.8530 0.5981 0.5981
Al 0.8845 0.1155 0.5000
Al 0.8845 0.5000 0.1155
Pd 0.2792 0.2792 0.7050
Pd 0.2792 0.7050 0.2792
Pd 0.2950 0.7208 0.7208
Pd 0.7050 0.2792 0.2792
Pd 0.7208 0.2950 0.7208
Pd 0.7208 0.7208 0.2950

---

(2)
CaTl4Hg: optimized geometry, PBE.

Properties
- distance to the lowest polymorph of the same formula (meV per atom) = 5.3

a = 6.2989 Å, b = 6.6941 Å, c = 9.3441 Å
α = 86.45°, β = 88.43°, γ = 62.84°
Atoms (fractional coordinates):
Ca 0.1132 0.1310 0.2571
Ca 0.8868 0.8690 0.7429
Tl 0.0264 0.6943 0.4003
Tl 0.2208 0.5388 0.0709
Tl 0.2959 0.9774 0.9113
Tl 0.4484 0.7879 0.5769
Tl 0.5516 0.2121 0.4231
Tl 0.7041 0.0226 0.0887
Tl 0.7792 0.4612 0.9291
Tl 0.9736 0.3057 0.5997
Hg 0.3963 0.3749 0.7473
Hg 0.6037 0.6251 0.2527

---

For reference, energy of formation by record: -0.608 -0.151 eV/atom.